1.
DFT (PBE) results for an optimized crystal structure of DyHo3Sb2.

Values from the calculation:
**DOS(E_F)**: 0.715 states/eV/atom
**Excess energy over the best structure of this formula in the dataset**: 0 meV/atom
**Energy relative to the elements, uncorrected**: -0.783 eV/atom
**M_tot**: 0.0 μB per formula unit
**SG**: P-4m2 (115)

a = 4.4599 Å, b = 4.4599 Å, c = 8.4250 Å
α = 90.00°, β = 90.00°, γ = 90.00°
Positions (direct):
Dy1 0.0000 0.0000 0.0000
Ho1 0.0000 0.5000 0.3498
Ho2 0.5000 0.0000 0.6502
Ho3 0.5000 0.5000 0.0000
Sb1 0.0000 0.5000 0.7184
Sb2 0.5000 0.0000 0.2816

2.
DFT (PBE) results for an optimized crystal structure of Ac3Dy5Te12.

Values from the calculation:
**Energy relative to the elements, uncorrected**: -1.335 eV/atom
**M_tot**: 0.0 μB per formula unit
**SG**: Ia-3d (230)

a = 16.1049 Å, b = 16.1049 Å, c = 16.1049 Å
α = 109.47°, β = 109.47°, γ = 109.47°
Positions (direct):
Ac1 0.1250 0.2500 0.3750
Ac2 0.1250 0.3750 0.7500
Ac3 0.2500 0.3750 0.1250
Ac4 0.2500 0.8750 0.6250
Ac5 0.3750 0.1250 0.2500
Ac6 0.3750 0.7500 0.1250
Ac7 0.6250 0.2500 0.8750
Ac8 0.6250 0.8750 0.7500
Ac9 0.7500 0.1250 0.3750
Ac10 0.7500 0.6250 0.8750
Ac11 0.8750 0.6250 0.2500
Ac12 0.8750 0.7500 0.6250
Dy1 0.0000 0.0000 0.0000
Dy2 0.0000 0.0000 0.5000
Dy3 0.0000 0.5000 0.0000
Dy4 0.0000 0.5000 0.5000
Dy5 0.1250 0.7500 0.8750
Dy6 0.1250 0.8750 0.2500
Dy7 0.2500 0.1250 0.8750
Dy8 0.2500 0.6250 0.3750
Dy9 0.3750 0.2500 0.6250
Dy10 0.3750 0.6250 0.7500
Dy11 0.5000 0.0000 0.0000
Dy12 0.5000 0.0000 0.5000
Dy13 0.5000 0.5000 0.0000
Dy14 0.5000 0.5000 0.5000
Dy15 0.6250 0.3750 0.2500
Dy16 0.6250 0.7500 0.3750
Dy17 0.7500 0.3750 0.6250
Dy18 0.7500 0.8750 0.1250
Dy19 0.8750 0.1250 0.7500
Dy20 0.8750 0.2500 0.1250
Te1 0.0420 0.2167 0.1265
Te2 0.0420 0.3253 0.9155
Te3 0.0845 0.6265 0.4098
Te4 0.0845 0.9580 0.6747
Te5 0.0902 0.7167 0.6747
Te6 0.0902 0.8735 0.4155
Te7 0.1265 0.0420 0.2167
Te8 0.1265 0.5845 0.9098
Te9 0.1747 0.2167 0.5902
Te10 0.1747 0.4580 0.5845
Te11 0.2167 0.1265 0.0420
Te12 0.2167 0.5902 0.1747
Te13 0.2833 0.3253 0.9098
Te14 0.2833 0.4580 0.3735
Te15 0.3253 0.9098 0.2833
Te16 0.3253 0.9155 0.0420
Te17 0.3735 0.2833 0.4580
Te18 0.3735 0.5902 0.9155
Te19 0.4098 0.0845 0.6265
Te20 0.4098 0.8253 0.7833
Te21 0.4155 0.0902 0.8735
Te22 0.4155 0.8253 0.5420
Te23 0.4580 0.3735 0.2833
Te24 0.4580 0.5845 0.1747
Te25 0.5420 0.4155 0.8253
Te26 0.5420 0.6265 0.7167
Te27 0.5845 0.1747 0.4580
Te28 0.5845 0.9098 0.1265
Te29 0.5902 0.1747 0.2167
Te30 0.5902 0.9155 0.3735
Te31 0.6265 0.4098 0.0845
Te32 0.6265 0.7167 0.5420
Te33 0.6747 0.0845 0.9580
Te34 0.6747 0.0902 0.7167
Te35 0.7167 0.5420 0.6265
Te36 0.7167 0.6747 0.0902
Te37 0.7833 0.4098 0.8253
Te38 0.7833 0.8735 0.9580
Te39 0.8253 0.5420 0.4155
Te40 0.8253 0.7833 0.4098
Te41 0.8735 0.4155 0.0902
Te42 0.8735 0.9580 0.7833
Te43 0.9098 0.1265 0.5845
Te44 0.9098 0.2833 0.3253
Te45 0.9155 0.0420 0.3253
Te46 0.9155 0.3735 0.5902
Te47 0.9580 0.6747 0.0845
Te48 0.9580 0.7833 0.8735

3.
DFT (PBE) results for an optimized crystal structure of Rb2LiBiI6.

Values from the calculation:
**DOS(E_F)**: 0.000 states/eV/atom
**Excess energy over the best structure of this formula in the dataset**: 29 meV/atom
**Energy relative to the elements, uncorrected**: -0.987 eV/atom
**M_tot**: 0.0 μB per formula unit
**SG**: Fm-3m (225)

a = 8.5747 Å, b = 8.5747 Å, c = 8.5747 Å
α = 60.00°, β = 60.00°, γ = 60.00°
Positions (direct):
Rb1 0.2500 0.2500 0.2500
Rb2 0.7500 0.7500 0.7500
Li1 0.0000 0.0000 0.0000
Bi1 0.5000 0.5000 0.5000
I1 0.2459 0.2459 0.7541
I2 0.2459 0.7541 0.2459
I3 0.2459 0.7541 0.7541
I4 0.7541 0.2459 0.2459
I5 0.7541 0.2459 0.7541
I6 0.7541 0.7541 0.2459